Entry 1:
{"formula": "PaGaRhAu", "functional": "PBE", "state": "optimized geometry", "lattice": [[4.789, 0.000, 0.000], [2.395, 4.147, 0.000], [2.395, 1.382, 3.910]], "species": ["Au", "Rh", "Pa", "Ga"], "fractional_positions": [[0.000, 0.000, 0.000], [0.500, 0.500, 0.500], [0.750, 0.750, 0.750], [0.250, 0.250, 0.250]], "ef_ev_per_atom": -0.45, "volume_a3_per_atom": 19.42, "crystal_system": "cubic"}



Entry 2:
{"formula": "SmPaGaAu", "functional": "PBE", "state": "optimized geometry", "lattice": [[5.154, 0.000, 0.000], [2.577, 4.464, 0.000], [2.577, 1.488, 4.208]], "species": ["Ga", "Pa", "Sm", "Au"], "fractional_positions": [[0.250, 0.250, 0.250], [0.000, 0.000, 0.000], [0.500, 0.500, 0.500], [0.750, 0.750, 0.750]], "ef_ev_per_atom": -0.29, "volume_a3_per_atom": 24.21, "crystal_system": "cubic"}



Entry 3:
{"formula": "PaGaSnAu", "functional": "PBE", "state": "optimized geometry", "lattice": [[5.000, 0.000, 0.000], [2.500, 4.330, 0.000], [2.500, 1.443, 4.082]], "species": ["Sn", "Pa", "Au", "Ga"], "fractional_positions": [[0.250, 0.250, 0.250], [0.750, 0.750, 0.750], [0.000, 0.000, 0.000], [0.500, 0.500, 0.500]], "ef_ev_per_atom": -0.22, "volume_a3_per_atom": 22.10, "crystal_system": "cubic"}



Entry 4:
{"formula": "Pa2ZnGa4Au3", "functional": "PBE", "state": "optimized geometry", "lattice": [[4.239, 0.000, 0.000], [0.000, 4.239, 0.000], [0.000, 0.000, 10.897]], "species": ["Au", "Au", "Au", "Ga", "Ga", "Ga", "Ga", "Pa", "Pa", "Zn"], "fractional_positions": [[0.500, 0.000, 0.859], [0.000, 0.500, 0.141], [0.000, 0.000, 0.500], [0.500, 0.000, 0.634], [0.500, 0.500, 0.000], [0.000, 0.000, 0.000], [0.000, 0.500, 0.366], [0.500, 0.000, 0.257], [0.000, 0.500, 0.743], [0.500, 0.500, 0.500]], "ef_ev_per_atom": -0.33, "volume_a3_per_atom": 19.58, "crystal_system": "tetragonal"}



Entry 5:
{"formula": "PaZnGa3Au", "functional": "PBE", "state": "optimized geometry", "lattice": [[-1.274, -4.937, -2.170], [2.240, -2.481, 4.328], [-8.184, 1.413, 1.591]], "species": ["Au", "Au", "Ga", "Ga", "Ga", "Ga", "Ga", "Ga", "Pa", "Pa", "Zn", "Zn"], "fractional_positions": [[0.250, 0.268, 0.535], [0.750, 0.732, 0.465], [0.500, 0.726, 0.000], [0.000, 0.274, 0.000], [0.250, 0.102, 0.203], [0.000, 0.726, 0.000], [0.750, 0.898, 0.797], [0.500, 0.274, 0.000], [0.750, 0.336, 0.672], [0.250, 0.664, 0.328], [0.250, 0.859, 0.718], [0.750, 0.141, 0.282]], "ef_ev_per_atom": -0.03, "volume_a3_per_atom": 20.20, "crystal_system": "orthorhombic"}



Entry 6:
{"formula": "PaZn2Ga2Au2", "functional": "PBE", "state": "optimized geometry", "lattice": [[4.420, 0.000, 0.000], [2.210, 3.828, 0.000], [2.210, 1.276, 7.666]], "species": ["Pa", "Au", "Au", "Zn", "Zn", "Ga", "Ga"], "fractional_positions": [[0.000, 0.000, 0.000], [0.427, 0.427, 0.720], [0.573, 0.573, 0.280], [0.860, 0.860, 0.421], [0.140, 0.140, 0.579], [0.263, 0.263, 0.210], [0.737, 0.737, 0.790]], "ef_ev_per_atom": -0.26, "volume_a3_per_atom": 18.53, "crystal_system": "trigonal"}



Entry 7:
{"formula": "GaPbAu3", "functional": "PBE", "state": "optimized geometry", "lattice": [[-3.310, 0.835, -3.563], [-3.632, -1.332, 3.062], [-0.444, 4.677, 1.508]], "species": ["Pb", "Au", "Au", "Au", "Ga"], "fractional_positions": [[0.500, 0.500, 0.500], [0.000, 0.500, 0.000], [0.000, 0.000, 0.500], [0.500, 0.000, 0.000], [0.000, 0.000, 0.000]], "ef_ev_per_atom": 0.09, "volume_a3_per_atom": 24.03, "crystal_system": "cubic", "de_polymorph_mev_per_atom": 184.4}



Entry 8:
{"formula": "GaPb2Au", "functional": "PBE", "state": "optimized geometry", "lattice": [[3.593, 0.000, 0.000], [0.000, 3.593, 0.000], [0.000, 0.000, 7.815]], "species": ["Pb", "Pb", "Ga", "Au"], "fractional_positions": [[0.000, 0.000, 0.768], [0.000, 0.000, 0.232], [0.500, 0.500, 0.500], [0.500, 0.500, 0.000]], "ef_ev_per_atom": 0.02, "volume_a3_per_atom": 25.22, "crystal_system": "tetragonal"}